[1]
DFT (PBEsol) results for crystalline CsSi2C at its relaxed geometry.

**D(E_F)**: 0.667 states/eV per atom
**Formation energy (no corrections)**: 0.96 eV per atom
**Space-group type**: I-42d (122)
**Energy**: -0.335 Ry per atom

```
16
Lattice="6.429 0.000 0.000 0.000 6.429 0.000 0.000 0.000 8.705" Properties=species:S:1:pos:R:3 pbc="T T T"
Cs 0.000 0.000 0.000
Cs 0.000 3.215 2.176
Cs 3.215 0.000 6.529
Cs 3.215 3.215 4.352
Si 0.490 1.607 5.441
Si 1.607 3.704 7.617
Si 1.607 5.939 3.264
Si 2.725 1.607 1.088
Si 3.704 4.822 1.088
Si 4.822 0.490 3.264
Si 4.822 2.725 7.617
Si 5.939 4.822 5.441
C 0.000 0.000 4.352
C 0.000 3.215 6.529
C 3.215 0.000 2.176
C 3.215 3.215 0.000
```

[2]
DFT (PBEsol) results for crystalline Cr5Mo4 at its relaxed geometry.

**D(E_F)**: 0.597 states/eV per atom
**Space-group type**: I4/mmm (139)
**Energy**: -0.796 Ry per atom

```
9
Lattice="-4.445 4.445 1.490 4.445 -4.445 1.490 4.445 4.445 -1.490" Properties=species:S:1:pos:R:3 pbc="T T T"
Cr 0.000 0.000 0.000
Cr 2.994 2.994 0.000
Cr 1.451 -1.451 1.490
Cr -1.451 1.451 1.490
Cr 1.451 1.451 1.490
Mo 2.876 0.000 0.000
Mo 6.014 0.000 0.000
Mo 0.000 2.876 0.000
Mo 0.000 6.014 0.000
```